Record 1
First-principles (PBE-GGA) data for an optimized crystal structure of NaSrIn2Pt, as listed in Alexandria via LeMat-Bulk.

Relative energy among the computed polymorphs: 0.000 eV per atom
Total magnetization: 0.00 μB/atom
Energy: -16.2 eV per cell
Space group: No. 123
Crystal system: tetragonal

Lattice parameters (Å, degrees): 5.2848 5.2848 5.7598 90.00 90.00 90.00
With the nearest neighbours (Å) after each atom.
Fractional coordinates of all 5 atoms:
Na (0.0000, 0.0000, 0.0000)  4 Sr 3.74, 8 In 3.91
Sr (0.5000, 0.5000, 0.0000)  2 Pt 2.88
In (0.0000, 0.5000, 0.5000)  2 Pt 2.64
In (0.5000, 0.0000, 0.5000)  2 Pt 2.64
Pt (0.5000, 0.5000, 0.5000)  4 In 2.64, 2 Sr 2.88

Record 2
First-principles (PBE-GGA) data for an optimized crystal structure of CsCu3H, as listed in Alexandria via LeMat-Bulk.

Relative energy among the computed polymorphs: 0.000 eV per atom
Total magnetization: 0.00 μB/atom
Energy: -11.6 eV per cell
Space group: No. 221
Crystal system: cubic

Lattice parameters (Å, degrees): 4.4723 4.4723 4.4723 90.00 90.00 90.00
With the nearest neighbours (Å) after each atom.
Fractional coordinates of all 5 atoms:
Cs (0.0000, 0.0000, 0.0000)  12 Cu 3.16
Cu (0.0000, 0.5000, 0.5000)  2 H 2.24
Cu (0.5000, 0.0000, 0.5000)  2 H 2.24
Cu (0.5000, 0.5000, 0.0000)  2 H 2.24
H (0.5000, 0.5000, 0.5000)  6 Cu 2.24

Record 3
First-principles (PBE-GGA) data for an optimized crystal structure of DyLu2Th, as listed in Alexandria via LeMat-Bulk.

Relative energy among the computed polymorphs: 0.083 eV per atom
Total magnetization: 0.00 μB/atom
Energy: -20.6 eV per cell
Space group: No. 225
Crystal system: cubic

Lattice parameters (Å, degrees): 5.5933 5.5933 5.5933 60.00 60.00 60.00
With the nearest neighbours (Å) after each atom.
Fractional coordinates of all 4 atoms:
Dy (0.0000, 0.0000, 0.0000)  8 Lu 3.43
Lu (0.2500, 0.2500, 0.2500)  4 Dy 3.43, 4 Th 3.43
Lu (0.7500, 0.7500, 0.7500)  4 Th 3.43, 4 Dy 3.43
Th (0.5000, 0.5000, 0.5000)  8 Lu 3.43